## Nd2ThCd2Sn2 (GGA-PBE)

Data for a geometry-optimized Nd2ThCd2Sn2 structure.

Fermi-level density of states = 0.997 states/eV/atom
Volume = 608.47 Å³ per cell
E_form = -0.26 eV/atom
Total magnetic moment = 0.00 μB/cell

Cell lengths 4.9866, 4.9866, 28.2553 Å; angles 90.00, 90.00, 120.00 degrees
Space group R-3m (No. 166, hexagonal axes)
Symmetry-distinct sites (fractional):
Nd 0.0000 0.0000 0.1277
Th 0.0000 0.0000 0.0000
Cd 0.0000 0.0000 0.3924
Sn 0.0000 0.0000 0.2595